The following is a PBE calculation of Li3La after structural relaxation, from Alexandria via LeMat-Bulk.

Properties
As for the space group: P4/nmm (129).

a = 3.5665 Å, b = 3.5665 Å, c = 15.4748 Å
α = 90.00°, β = 90.00°, γ = 90.00°
With the nearest neighbours (Å) after each atom.
Element x y z (fractional)
Li (0.5000, 0.0000, 0.5522)  10 Li 3.00-3.29
Li (0.0000, 0.5000, 0.2402)  5 Li 2.95-3.21
Li (0.0000, 0.5000, 0.6604)  9 Li 2.95-3.29
Li (0.5000, 0.0000, 0.7598)  5 Li 2.95-3.21
Li (0.0000, 0.5000, 0.4478)  10 Li 3.00-3.29
Li (0.5000, 0.0000, 0.3396)  9 Li 2.95-3.29
La (0.0000, 0.5000, 0.9156)  4 Li 3.49, 8 La 3.57-3.63
La (0.5000, 0.0000, 0.0844)  4 Li 3.49, 8 La 3.57-3.63



The following is a PBE calculation of CaTb4Pr2Sm after structural relaxation, from Alexandria via LeMat-Bulk.

Properties
As for the space group: C2/c (15).

a = 9.6764 Å, b = 9.6764 Å, c = 12.0410 Å
α = 128.51°, β = 128.51°, γ = 88.31°
With the nearest neighbours (Å) after each atom.
Element x y z (fractional)
Tb (0.2502, 0.7484, 0.0013)  3 Pr 3.36-3.50, 1 Ca 3.38, 2 Tb 3.44-3.46, 2 Sm 3.45-3.49
Pr (0.5000, 0.0000, 0.0000)  6 Tb 3.38-3.50, 2 Sm 3.45
Tb (0.7475, 0.7460, 0.0091)  3 Pr 3.33-3.38, 1 Sm 3.36, 2 Tb 3.45, 2 Ca 3.59-3.61
Ca (0.5000, 0.5000, 0.5000)  6 Tb 3.38-3.61, 2 Ca 3.45
Sm (0.0000, 0.5000, 0.0000)  6 Tb 3.36-3.49, 2 Pr 3.45
Tb (0.2525, 0.2540, 0.9909)  3 Pr 3.33-3.38, 1 Sm 3.36, 2 Tb 3.45, 2 Ca 3.59-3.61
Tb (0.2484, 0.7502, 0.5013)  3 Pr 3.36-3.50, 1 Ca 3.38, 2 Tb 3.44-3.46, 2 Sm 3.45-3.49
Tb (0.7498, 0.2516, 0.9987)  3 Pr 3.36-3.50, 1 Ca 3.38, 2 Tb 3.44-3.46, 2 Sm 3.45-3.49
Sm (0.0000, 0.5000, 0.5000)  6 Tb 3.36-3.49, 2 Pr 3.45
Pr (0.0000, 0.0000, 0.5000)  6 Tb 3.33-3.36, 2 Pr 3.45
Ca (0.0000, 0.0000, 0.0000)  6 Tb 3.38-3.61, 2 Ca 3.45
Tb (0.7540, 0.7525, 0.4909)  3 Pr 3.33-3.38, 1 Sm 3.36, 2 Tb 3.45, 2 Ca 3.59-3.61
Pr (0.5000, 0.0000, 0.5000)  6 Tb 3.38-3.50, 2 Sm 3.45
Pr (0.5000, 0.5000, 0.0000)  6 Tb 3.33-3.36, 2 Pr 3.45
Tb (0.2460, 0.2475, 0.5091)  3 Pr 3.33-3.38, 1 Sm 3.36, 2 Tb 3.45, 2 Ca 3.59-3.61
Tb (0.7516, 0.2498, 0.4987)  3 Pr 3.36-3.50, 1 Ca 3.38, 2 Tb 3.44-3.46, 2 Sm 3.45-3.49



For the records above, the corresponding energy of formation values read 0.0343 0.4062 eV/atom.